Entry 1:
This record from Alexandria via LeMat-Bulk describes crystalline TlFe2Cu at its relaxed geometry. The functional is GGA-PBE.

a b c (Å): 3.210 3.210 5.863
angles (deg): 90.00 90.00 90.00
Sites, in units of the cell vectors:
Tl (0.000, 0.000, 0.000)
Fe (0.500, 0.500, 0.301)
Fe (0.500, 0.500, 0.699)
Cu (0.000, 0.000, 0.500)

As for the energy relative to the elements: 0.45 eV/atom. The offset from the most stable computed form is 2.11 kcal/mol of atoms. The crystal system is tetragonal.

---

Entry 2:
This record from Alexandria via LeMat-Bulk describes crystalline Tl2FeCu at its relaxed geometry. The functional is GGA-PBE.

a b c (Å): 4.912 4.912 3.148
angles (deg): 90.00 90.00 90.00
Sites, in units of the cell vectors:
Tl (0.000, 0.500, 0.000)
Tl (0.500, 0.000, 0.000)
Fe (0.000, 0.000, 0.500)
Cu (0.500, 0.500, 0.500)

As for the energy relative to the elements: 0.54 eV/atom. The offset from the most stable computed form is 2.66 kcal/mol of atoms. The crystal system is tetragonal.

---

Entry 3:
This record from Alexandria via LeMat-Bulk describes crystalline TlFe2Cu at its relaxed geometry. The functional is GGA-PBE.

a b c (Å): 3.102 3.094 6.326
angles (deg): 90.00 90.20 90.00
Sites, in units of the cell vectors:
Tl (0.000, 0.000, 0.000)
Fe (0.000, 0.000, 0.483)
Fe (0.500, 0.500, 0.306)
Cu (0.500, 0.500, 0.708)

As for the energy relative to the elements: 0.36 eV/atom. The offset from the most stable computed form is 0.00 kcal/mol of atoms. The crystal system is monoclinic.

---

Entry 4:
This record from Alexandria via LeMat-Bulk describes crystalline Tl2Fe2Cu at its relaxed geometry. The functional is GGA-PBE.

a b c (Å): 8.545 8.545 8.545
angles (deg): 157.34 157.34 32.26
Sites, in units of the cell vectors:
Tl (0.107, 0.107, 0.000)
Tl (0.893, 0.893, 0.000)
Fe (0.250, 0.750, 0.500)
Fe (0.750, 0.250, 0.500)
Cu (0.500, 0.500, 0.000)

As for the energy relative to the elements: 0.56 eV/atom. The offset from the most stable computed form is 0.93 kcal/mol of atoms. The crystal system is tetragonal.

---

Entry 5:
This record from Alexandria via LeMat-Bulk describes crystalline TlFe2Cu at its relaxed geometry. The functional is GGA-PBE.

a b c (Å): 9.783 9.783 9.783
angles (deg): 158.11 158.11 31.16
Sites, in units of the cell vectors:
Tl (0.000, 0.000, 0.000)
Tl (0.750, 0.250, 0.500)
Fe (0.146, 0.625, 0.021)
Fe (0.375, 0.396, 0.521)
Fe (0.604, 0.125, 0.979)
Fe (0.875, 0.854, 0.479)
Cu (0.250, 0.750, 0.500)
Cu (0.500, 0.500, 0.000)

As for the energy relative to the elements: 0.69 eV/atom. The offset from the most stable computed form is 7.59 kcal/mol of atoms. The crystal system is tetragonal.

---

Entry 6:
This record from Alexandria via LeMat-Bulk describes crystalline TlFe2Cu at its relaxed geometry. The functional is GGA-PBE.

a b c (Å): 4.800 4.800 2.804
angles (deg): 90.00 90.00 112.53
Sites, in units of the cell vectors:
Tl (0.000, 0.000, 0.000)
Fe (0.000, 0.500, 0.500)
Fe (0.500, 0.000, 0.500)
Cu (0.500, 0.500, 0.000)

As for the energy relative to the elements: 0.52 eV/atom. The offset from the most stable computed form is 3.63 kcal/mol of atoms. The crystal system is orthorhombic.

---

Entry 7:
This record from Alexandria via LeMat-Bulk describes crystalline Tl2FeCu at its relaxed geometry. The functional is GGA-PBE.

a b c (Å): 3.669 4.150 5.462
angles (deg): 90.00 108.78 90.00
Sites, in units of the cell vectors:
Tl (0.000, 0.000, 0.000)
Tl (0.294, 0.500, 0.593)
Fe (0.727, 0.000, 0.453)
Cu (0.583, 0.500, 0.165)

As for the energy relative to the elements: 0.46 eV/atom. The offset from the most stable computed form is 0.89 kcal/mol of atoms. The crystal system is monoclinic.

---

Entry 8:
This record from Alexandria via LeMat-Bulk describes crystalline Tl2FeCu at its relaxed geometry. The functional is GGA-PBE.

a b c (Å): 3.192 3.192 8.081
angles (deg): 90.00 90.00 90.00
Sites, in units of the cell vectors:
Tl (0.000, 0.000, 0.000)
Tl (0.500, 0.500, 0.365)
Fe (0.500, 0.500, 0.758)
Cu (0.000, 0.000, 0.615)

As for the energy relative to the elements: 0.42 eV/atom. The offset from the most stable computed form is 0.00 kcal/mol of atoms. The crystal system is tetragonal.

---

Entry 9:
This record from Alexandria via LeMat-Bulk describes crystalline Tl2FeCu at its relaxed geometry. The functional is GGA-PBE.

a b c (Å): 8.850 8.850 8.850
angles (deg): 21.15 21.15 21.15
Sites, in units of the cell vectors:
Tl (0.249, 0.249, 0.249)
Tl (0.751, 0.751, 0.751)
Fe (0.000, 0.000, 0.000)
Cu (0.500, 0.500, 0.500)

As for the energy relative to the elements: 0.59 eV/atom. The offset from the most stable computed form is 3.98 kcal/mol of atoms. The crystal system is trigonal.

---

Entry 10:
This record from Alexandria via LeMat-Bulk describes crystalline Tl2FeCu at its relaxed geometry. The functional is GGA-PBE.

a b c (Å): 3.383 3.383 6.829
angles (deg): 90.00 90.00 98.79
Sites, in units of the cell vectors:
Tl (0.000, 0.000, 0.247)
Tl (0.000, 0.000, 0.753)
Fe (0.500, 0.500, 0.500)
Cu (0.500, 0.500, 0.000)

As for the energy relative to the elements: 0.57 eV/atom. The offset from the most stable computed form is 3.30 kcal/mol of atoms. The crystal system is orthorhombic.

---

Entry 11:
This record from Alexandria via LeMat-Bulk describes crystalline Tl2FeCu at its relaxed geometry. The functional is GGA-PBE.

a b c (Å): 4.760 4.760 4.760
angles (deg): 60.00 60.00 60.00
Sites, in units of the cell vectors:
Tl (0.250, 0.250, 0.250)
Tl (0.750, 0.750, 0.750)
Fe (0.000, 0.000, 0.000)
Cu (0.500, 0.500, 0.500)

As for the energy relative to the elements: 0.59 eV/atom. The offset from the most stable computed form is 3.88 kcal/mol of atoms. The crystal system is cubic.

---

Entry 12:
This record from Alexandria via LeMat-Bulk describes crystalline Tl2FeCu at its relaxed geometry. The functional is GGA-PBE.

a b c (Å): 5.666 5.666 5.666
angles (deg): 139.06 139.06 59.28
Sites, in units of the cell vectors:
Tl (0.000, 0.000, 0.000)
Tl (0.750, 0.250, 0.500)
Fe (0.500, 0.500, 0.000)
Cu (0.250, 0.750, 0.500)

As for the energy relative to the elements: 0.59 eV/atom. The offset from the most stable computed form is 3.76 kcal/mol of atoms. The crystal system is tetragonal.

---

no.,total magnetization (μB per cell)
1,5.26
2,2.63
3,5.20
4,4.99
5,10.41
6,5.07
7,2.49
8,2.95
9,3.09
10,2.72
11,2.60
12,2.49